First-principles (PBE) data for an optimized crystal structure of Pr2EuGe, as listed in Alexandria.

a b c (Å): 4.013 4.013 7.699
angles (deg): 90.00 90.00 90.00
Fractional coordinates of all 4 atoms:
Pr1 0.000 0.000 0.197
Pr2 0.000 0.000 0.803
Eu1 0.500 0.500 0.500
Ge1 0.500 0.500 0.000

Calculated values
Total magnetic moment = 8.3 μB/f.u.
SG = P4/mmm, No. 123
Formation enthalpy at 0 K = -0.28 eV per atom
DOS(E_F) = 1.22 states/eV/atom
Calculated volume = 31.0 Å³ per atom
E above lowest polymorph = 2.0 kJ/mol of atoms